Below is crystalline YTlTc2 at its relaxed geometry, with properties calculated at the PBE level.

Properties
Space group: Cmmm, No. 65
Offset from the most stable computed form in meV/atom: 603
DOS at the Fermi energy in states/eV/cell: 8.80
DFT formation energy in eV/atom: 0.651

a = 3.3906 Å, b = 5.0225 Å, c = 9.1370 Å
α = 90.00°, β = 90.00°, γ = 90.00°
Sites, in units of the cell vectors:
Y 0.0000 0.0000 0.0000
Y 0.5000 0.5000 0.0000
Tl 0.0000 0.0000 0.5000
Tl 0.5000 0.5000 0.5000
Tc 0.0000 0.5000 0.2513
Tc 0.0000 0.5000 0.7487
Tc 0.5000 0.0000 0.2513
Tc 0.5000 0.0000 0.7487

---

Below is crystalline YTl2Tc at its relaxed geometry, with properties calculated at the PBE level.

Properties
Space group: I-4m2, No. 119
Offset from the most stable computed form in meV/atom: 146
DOS at the Fermi energy in states/eV/cell: 5.77
DFT formation energy in eV/atom: 0.309

a = 4.3944 Å, b = 4.3944 Å, c = 9.2671 Å
α = 90.00°, β = 90.00°, γ = 90.00°
Sites, in units of the cell vectors:
Y 0.0000 0.0000 0.0000
Y 0.5000 0.5000 0.5000
Tl 0.0000 0.0000 0.5000
Tl 0.0000 0.5000 0.2500
Tl 0.5000 0.0000 0.7500
Tl 0.5000 0.5000 0.0000
Tc 0.0000 0.5000 0.7500
Tc 0.5000 0.0000 0.2500

---

Below is crystalline YTl2Tc at its relaxed geometry, with properties calculated at the PBE level.

Properties
Space group: Fm-3m, No. 225
Offset from the most stable computed form in meV/atom: 74
DOS at the Fermi energy in states/eV/cell: 14.41
DFT formation energy in eV/atom: 0.238

a = 7.0575 Å, b = 7.0575 Å, c = 7.0575 Å
α = 90.00°, β = 90.00°, γ = 90.00°
Sites, in units of the cell vectors:
Y 0.0000 0.0000 0.0000
Y 0.0000 0.5000 0.5000
Y 0.5000 0.0000 0.5000
Y 0.5000 0.5000 0.0000
Tl 0.2500 0.2500 0.2500
Tl 0.2500 0.2500 0.7500
Tl 0.2500 0.7500 0.2500
Tl 0.2500 0.7500 0.7500
Tl 0.7500 0.2500 0.2500
Tl 0.7500 0.2500 0.7500
Tl 0.7500 0.7500 0.2500
Tl 0.7500 0.7500 0.7500
Tc 0.0000 0.0000 0.5000
Tc 0.0000 0.5000 0.0000
Tc 0.5000 0.0000 0.0000
Tc 0.5000 0.5000 0.5000

---

Below is crystalline YTlTc2 at its relaxed geometry, with properties calculated at the PBE level.

Properties
Space group: I-42d, No. 122
Offset from the most stable computed form in meV/atom: 907
DOS at the Fermi energy in states/eV/cell: 18.36
DFT formation energy in eV/atom: 0.955

a = 7.7240 Å, b = 7.7240 Å, c = 5.7250 Å
α = 90.00°, β = 90.00°, γ = 90.00°
Sites, in units of the cell vectors:
Y 0.0000 0.0000 0.0000
Y 0.0000 0.5000 0.2500
Y 0.5000 0.0000 0.7500
Y 0.5000 0.5000 0.5000
Tl 0.0000 0.0000 0.5000
Tl 0.0000 0.5000 0.7500
Tl 0.5000 0.0000 0.2500
Tl 0.5000 0.5000 0.0000
Tc 0.2326 0.2500 0.6250
Tc 0.2500 0.7326 0.8750
Tc 0.2500 0.7674 0.3750
Tc 0.2674 0.2500 0.1250
Tc 0.7326 0.7500 0.1250
Tc 0.7500 0.2326 0.3750
Tc 0.7500 0.2674 0.8750
Tc 0.7674 0.7500 0.6250

---

Below is crystalline YTlTc2 at its relaxed geometry, with properties calculated at the PBE level.

Properties
Space group: R-3m, No. 166
Offset from the most stable computed form in meV/atom: 657
DOS at the Fermi energy in states/eV/cell: 15.94
DFT formation energy in eV/atom: 0.704

a = 3.2061 Å, b = 3.2061 Å, c = 26.8039 Å
α = 90.00°, β = 90.00°, γ = 120.00°
Sites, in units of the cell vectors:
Y 0.0000 0.0000 0.0000
Y 0.3333 0.6667 0.6667
Y 0.6667 0.3333 0.3333
Tl 0.0000 0.0000 0.5000
Tl 0.3333 0.6667 0.1667
Tl 0.6667 0.3333 0.8333
Tc 0.0000 0.0000 0.2483
Tc 0.0000 0.0000 0.7517
Tc 0.3333 0.6667 0.4184
Tc 0.3333 0.6667 0.9149
Tc 0.6667 0.3333 0.0851
Tc 0.6667 0.3333 0.5816

---

Below is crystalline Y3TlTc at its relaxed geometry, with properties calculated at the PBE level.

Properties
Space group: Pm-3m, No. 221
DOS at the Fermi energy in states/eV/cell: 11.34
DFT formation energy in eV/atom: 1.110

a = 5.6427 Å, b = 5.6427 Å, c = 5.6427 Å
α = 90.00°, β = 90.00°, γ = 90.00°
Sites, in units of the cell vectors:
Y 0.0000 0.0000 0.5000
Y 0.0000 0.5000 0.0000
Y 0.5000 0.0000 0.0000
Tl 0.0000 0.0000 0.0000
Tc 0.5000 0.5000 0.5000

---

Below is crystalline YTl2Tc at its relaxed geometry, with properties calculated at the PBE level.

Properties
Space group: R3m, No. 160
Offset from the most stable computed form in meV/atom: 175
DOS at the Fermi energy in states/eV/cell: 7.45
DFT formation energy in eV/atom: 0.338

a = 3.4381 Å, b = 3.4381 Å, c = 29.3172 Å
α = 90.00°, β = 90.00°, γ = 120.00°
Sites, in units of the cell vectors:
Y 0.0000 0.0000 0.0000
Y 0.3333 0.6667 0.6667
Y 0.6667 0.3333 0.3333
Tl 0.0000 0.0000 0.5270
Tl 0.0000 0.0000 0.7652
Tl 0.3333 0.6667 0.1937
Tl 0.3333 0.6667 0.4318
Tl 0.6667 0.3333 0.0985
Tl 0.6667 0.3333 0.8604
Tc 0.0000 0.0000 0.2661
Tc 0.3333 0.6667 0.9328
Tc 0.6667 0.3333 0.5994

---

Below is crystalline YTl2Tc at its relaxed geometry, with properties calculated at the PBE level.

Properties
Space group: P4/mmm, No. 123
Offset from the most stable computed form in meV/atom: 111
DOS at the Fermi energy in states/eV/cell: 3.01
DFT formation energy in eV/atom: 0.274

a = 3.5821 Å, b = 3.5821 Å, c = 6.9795 Å
α = 90.00°, β = 90.00°, γ = 90.00°
Sites, in units of the cell vectors:
Y 0.0000 0.0000 0.0000
Tl 0.5000 0.5000 0.2837
Tl 0.5000 0.5000 0.7163
Tc 0.0000 0.0000 0.5000

---

Below is crystalline Y2Tl2Tc at its relaxed geometry, with properties calculated at the PBE level.

Properties
Space group: I4/mmm, No. 139
DOS at the Fermi energy in states/eV/cell: 10.33
DFT formation energy in eV/atom: 0.778

a = 4.3143 Å, b = 4.3143 Å, c = 14.3465 Å
α = 90.00°, β = 90.00°, γ = 90.00°
Sites, in units of the cell vectors:
Y 0.0000 0.5000 0.2500
Y 0.0000 0.5000 0.7500
Y 0.5000 0.0000 0.2500
Y 0.5000 0.0000 0.7500
Tl 0.0000 0.0000 0.0941
Tl 0.0000 0.0000 0.9059
Tl 0.5000 0.5000 0.4059
Tl 0.5000 0.5000 0.5941
Tc 0.0000 0.0000 0.5000
Tc 0.5000 0.5000 0.0000

---

Below is crystalline YTl2Tc2 at its relaxed geometry, with properties calculated at the PBE level.

Properties
Space group: P4/mbm, No. 127
Offset from the most stable computed form in meV/atom: 170
DOS at the Fermi energy in states/eV/cell: 7.99
DFT formation energy in eV/atom: 0.511

a = 7.8868 Å, b = 7.8868 Å, c = 3.3302 Å
α = 90.00°, β = 90.00°, γ = 90.00°
Sites, in units of the cell vectors:
Y 0.0000 0.0000 0.0000
Y 0.5000 0.5000 0.0000
Tl 0.1422 0.3578 0.0000
Tl 0.3578 0.8578 0.0000
Tl 0.6422 0.1422 0.0000
Tl 0.8578 0.6422 0.0000
Tc 0.1533 0.6533 0.5000
Tc 0.3467 0.1533 0.5000
Tc 0.6533 0.8467 0.5000
Tc 0.8467 0.3467 0.5000

---

Below is crystalline Y6Tl2Tc at its relaxed geometry, with properties calculated at the PBE level.

Properties
Space group: P-62m, No. 189
DOS at the Fermi energy in states/eV/cell: 10.81
DFT formation energy in eV/atom: -0.249

a = 8.5813 Å, b = 8.5813 Å, c = 3.9618 Å
α = 90.00°, β = 90.00°, γ = 120.00°
Sites, in units of the cell vectors:
Y 0.0000 0.3889 0.0000
Y 0.0000 0.7593 0.5000
Y 0.2407 0.2407 0.5000
Y 0.3889 0.0000 0.0000
Y 0.6111 0.6111 0.0000
Y 0.7593 0.0000 0.5000
Tl 0.3333 0.6667 0.5000
Tl 0.6667 0.3333 0.5000
Tc 0.0000 0.0000 0.0000

---

Below is crystalline YTl2Tc at its relaxed geometry, with properties calculated at the PBE level.

Properties
Space group: I-42d, No. 122
Offset from the most stable computed form in meV/atom: 320
DOS at the Fermi energy in states/eV/cell: 10.72
DFT formation energy in eV/atom: 0.483

a = 4.3257 Å, b = 4.3257 Å, c = 21.2080 Å
α = 90.00°, β = 90.00°, γ = 90.00°
Sites, in units of the cell vectors:
Y 0.0000 0.0000 0.0000
Y 0.0000 0.5000 0.2500
Y 0.5000 0.0000 0.7500
Y 0.5000 0.5000 0.5000
Tl 0.2264 0.2500 0.6250
Tl 0.2500 0.7264 0.8750
Tl 0.2500 0.7736 0.3750
Tl 0.2736 0.2500 0.1250
Tl 0.7264 0.7500 0.1250
Tl 0.7500 0.2264 0.3750
Tl 0.7500 0.2736 0.8750
Tl 0.7736 0.7500 0.6250
Tc 0.0000 0.0000 0.5000
Tc 0.0000 0.5000 0.7500
Tc 0.5000 0.0000 0.2500
Tc 0.5000 0.5000 0.0000

---

Below is crystalline YTl2Tc at its relaxed geometry, with properties calculated at the PBE level.

Properties
Space group: Pmmm, No. 47
Offset from the most stable computed form in meV/atom: 103
DOS at the Fermi energy in states/eV/cell: 2.52
DFT formation energy in eV/atom: 0.266

a = 3.8770 Å, b = 4.8214 Å, c = 4.8249 Å
α = 90.00°, β = 90.00°, γ = 90.00°
Sites, in units of the cell vectors:
Y 0.0000 0.0000 0.0000
Tl 0.0000 0.5000 0.5000
Tl 0.5000 0.5000 0.0000
Tc 0.5000 0.0000 0.5000

---

Below is crystalline YTl2Tc at its relaxed geometry, with properties calculated at the PBE level.

Properties
Space group: P4mm, No. 99
Offset from the most stable computed form in meV/atom: 62
DOS at the Fermi energy in states/eV/cell: 3.05
DFT formation energy in eV/atom: 0.225

a = 3.5118 Å, b = 3.5118 Å, c = 7.8601 Å
α = 90.00°, β = 90.00°, γ = 90.00°
Sites, in units of the cell vectors:
Y 0.0000 0.0000 0.0000
Tl 0.0000 0.0000 0.3978
Tl 0.5000 0.5000 0.6916
Tc 0.5000 0.5000 0.2063

---

Below is crystalline YTl2Tc at its relaxed geometry, with properties calculated at the PBE level.

Properties
Space group: R-3m, No. 166
Offset from the most stable computed form in meV/atom: 235
DOS at the Fermi energy in states/eV/cell: 8.72
DFT formation energy in eV/atom: 0.398

a = 3.3139 Å, b = 3.3139 Å, c = 29.1966 Å
α = 90.00°, β = 90.00°, γ = 120.00°
Sites, in units of the cell vectors:
Y 0.0000 0.0000 0.0000
Y 0.3333 0.6667 0.6667
Y 0.6667 0.3333 0.3333
Tl 0.0000 0.0000 0.2407
Tl 0.0000 0.0000 0.7593
Tl 0.3333 0.6667 0.4260
Tl 0.3333 0.6667 0.9074
Tl 0.6667 0.3333 0.0926
Tl 0.6667 0.3333 0.5740
Tc 0.0000 0.0000 0.5000
Tc 0.3333 0.6667 0.1667
Tc 0.6667 0.3333 0.8333

---

Below is crystalline YTlTc2 at its relaxed geometry, with properties calculated at the PBE level.

Properties
Space group: Pm, No. 6
Offset from the most stable computed form in meV/atom: 206
DOS at the Fermi energy in states/eV/cell: 3.42
DFT formation energy in eV/atom: 0.254

a = 3.3619 Å, b = 4.3211 Å, c = 5.8565 Å
α = 90.00°, β = 105.76°, γ = 90.00°
Sites, in units of the cell vectors:
Y 0.0000 0.0000 0.0000
Tl 0.3534 0.5000 0.6882
Tc 0.6054 0.5000 0.2471
Tc 0.7620 0.0000 0.4467

---

Below is crystalline YTl2Tc at its relaxed geometry, with properties calculated at the PBE level.

Properties
Space group: Imm2, No. 44
Offset from the most stable computed form in meV/atom: 82
DOS at the Fermi energy in states/eV/cell: 5.96
DFT formation energy in eV/atom: 0.245

a = 3.3417 Å, b = 4.6766 Å, c = 12.6313 Å
α = 90.00°, β = 90.00°, γ = 90.00°
Sites, in units of the cell vectors:
Y 0.0000 0.0000 0.0000
Y 0.5000 0.5000 0.5000
Tl 0.0000 0.0000 0.3701
Tl 0.0000 0.5000 0.1822
Tl 0.5000 0.0000 0.6822
Tl 0.5000 0.5000 0.8701
Tc 0.0000 0.5000 0.6812
Tc 0.5000 0.0000 0.1812

---

Below is crystalline YTl2Tc at its relaxed geometry, with properties calculated at the PBE level.

Properties
Space group: C2/m, No. 12
Offset from the most stable computed form in meV/atom: 206
DOS at the Fermi energy in states/eV/cell: 4.70
DFT formation energy in eV/atom: 0.369

a = 6.2586 Å, b = 8.7248 Å, c = 3.3612 Å
α = 90.00°, β = 90.91°, γ = 90.00°
Sites, in units of the cell vectors:
Y 0.0000 0.0000 0.0000
Y 0.5000 0.5000 0.0000
Tl 0.2500 0.2500 0.5000
Tl 0.2500 0.7500 0.5000
Tl 0.7500 0.2500 0.5000
Tl 0.7500 0.7500 0.5000
Tc 0.0000 0.5000 0.0000
Tc 0.5000 0.0000 0.0000

---

Below is crystalline YTlTc2 at its relaxed geometry, with properties calculated at the PBE level.

Properties
Space group: Fm-3m, No. 225
Offset from the most stable computed form in meV/atom: 478
DOS at the Fermi energy in states/eV/cell: 20.01
DFT formation energy in eV/atom: 0.526

a = 6.7801 Å, b = 6.7801 Å, c = 6.7801 Å
α = 90.00°, β = 90.00°, γ = 90.00°
Sites, in units of the cell vectors:
Y 0.0000 0.0000 0.0000
Y 0.0000 0.5000 0.5000
Y 0.5000 0.0000 0.5000
Y 0.5000 0.5000 0.0000
Tl 0.0000 0.0000 0.5000
Tl 0.0000 0.5000 0.0000
Tl 0.5000 0.0000 0.0000
Tl 0.5000 0.5000 0.5000
Tc 0.2500 0.2500 0.2500
Tc 0.2500 0.2500 0.7500
Tc 0.2500 0.7500 0.2500
Tc 0.2500 0.7500 0.7500
Tc 0.7500 0.2500 0.2500
Tc 0.7500 0.2500 0.7500
Tc 0.7500 0.7500 0.2500
Tc 0.7500 0.7500 0.7500

---

Below is crystalline YTlTc2 at its relaxed geometry, with properties calculated at the PBE level.

Properties
Space group: P4mm, No. 99
Offset from the most stable computed form in meV/atom: 0
DOS at the Fermi energy in states/eV/cell: 2.10
DFT formation energy in eV/atom: 0.048

a = 3.1288 Å, b = 3.1288 Å, c = 8.1948 Å
α = 90.00°, β = 90.00°, γ = 90.00°
Sites, in units of the cell vectors:
Y 0.0000 0.0000 0.0000
Tl 0.5000 0.5000 0.6828
Tc 0.0000 0.0000 0.4194
Tc 0.5000 0.5000 0.2573